4
Lattice="1.942 -2.130 3.558 0.604 2.232 3.953 -2.520 -1.104 3.661" Properties=species:S:1:pos:R:3 comment="PBE LuScZnCo, optimized geometry" ef_kj_per_mol_atoms=-4.8 volume_a3_per_cell=67.9 de_polymorph_mev_per_atom=0.0 pbc="T T T"
Lu 0.013 -0.501 5.586
Co 0.020 -0.752 8.379
Sc 0.007 -0.251 2.793
Zn 0.000 0.000 0.000